DFT (GGA-PBE) results for crystalline Y5Tl4Cu at its relaxed geometry.

Cell: 3.6018 3.6018 20.2931 Å, 90.00 90.00 90.00°
Last column: nearest neighbours and their distance in Å.
Space group P4/mmm (No. 123)
Unique sites:
Y: 0.0000 0.0000 0.0000  8 Tl 3.32, 4 Y 3.60
Y: 0.0000 0.0000 0.2089  8 Tl 3.31, 4 Y 3.60
Y: 0.0000 0.0000 0.4172  4 Cu 3.05, 4 Tl 3.31, 1 Y 3.36
Tl: 0.5000 0.5000 0.1046  8 Y 3.31-3.32, 4 Tl 3.60
Tl: 0.5000 0.5000 0.3131  8 Y 3.31, 4 Tl 3.60
Cu: 0.5000 0.5000 0.5000  8 Y 3.05

Output
**V**: 263.26 Å³/cell
**Density of states at the Fermi level**: 0.564 states/eV/atom
**Calculated total energy**: -49.4 eV per cell